[1]
LiDySe PBE optimized geometry; space-group type = P-6m2 (187); total energy = -4.403 eV per atom; energy relative to the lowest polymorph listed for this composition = 0 meV per atom
1.0
4.111 0.000 0.000
-2.056 3.560 0.000
0.000 0.000 3.935
Li Dy Se
1 1 1
Direct
0.000 0.000 0.000
0.333 0.667 0.500
0.667 0.333 0.000

***

[2]
Li3Dy5Se8 PBE optimized geometry; space-group type = R-3m (166); total energy = -5.265 eV per atom
1.0
4.043 2.334 6.576
-4.043 2.334 6.576
0.000 -4.668 6.576
Li Dy Se
3 5 8
Direct
0.000 0.500 0.500
0.500 0.000 0.500
0.500 0.500 0.000
0.000 0.000 0.000
0.000 0.000 0.500
0.000 0.500 0.000
0.500 0.000 0.000
0.500 0.500 0.500
0.250 0.250 0.743
0.250 0.743 0.250
0.251 0.251 0.251
0.257 0.750 0.750
0.743 0.250 0.250
0.749 0.749 0.749
0.750 0.257 0.750
0.750 0.750 0.257

***

[3]
LiDySe PBE optimized geometry; space-group type = P4/nmm (129); total energy = -4.196 eV per atom; energy relative to the lowest polymorph listed for this composition = 207 meV per atom
1.0
4.371 0.000 0.000
0.000 4.371 0.000
0.000 0.000 7.283
Li Dy Se
2 2 2
Direct
0.250 0.250 0.139
0.750 0.750 0.861
0.250 0.750 0.500
0.750 0.250 0.500
0.250 0.250 0.785
0.750 0.750 0.215

***

[4]
Li2DySe2 PBE optimized geometry; space-group type = R-3m (166); total energy = -4.403 eV per atom
1.0
2.025 1.169 7.839
-2.025 1.169 7.839
0.000 -2.338 7.839
Li Dy Se
2 1 2
Direct
0.223 0.223 0.223
0.777 0.777 0.777
0.000 0.000 0.000
0.408 0.408 0.408
0.592 0.592 0.592

***

[5]
LiDy2Se3 PBE optimized geometry; space-group type = Immm (71); total energy = -5.321 eV per atom
1.0
-2.013 2.866 6.060
2.013 -2.866 6.060
2.013 2.866 -6.060
Li Dy Se
1 2 3
Direct
0.000 0.000 0.000
0.334 0.334 0.000
0.666 0.666 0.000
0.161 0.661 0.500
0.500 0.000 0.500
0.839 0.339 0.500

***

[6]
LiDySe2 PBE optimized geometry; space-group type = R3m (160); total energy = -5.015 eV per atom
1.0
2.020 1.166 6.893
-2.020 1.166 6.893
0.000 -2.333 6.893
Li Dy Se
1 1 2
Direct
0.000 0.000 0.000
0.825 0.825 0.825
0.237 0.237 0.237
0.410 0.410 0.410

***

[7]
LiDy4Se5 PBE optimized geometry; space-group type = I4 (79); total energy = -5.521 eV per atom
1.0
-4.529 4.529 2.861
4.529 -4.529 2.861
4.529 4.529 -2.861
Li Dy Se
1 4 5
Direct
0.000 0.000 0.000
0.198 0.598 0.799
0.399 0.198 0.600
0.598 0.799 0.400
0.799 0.399 0.201
0.094 0.290 0.387
0.290 0.903 0.195
0.499 0.499 0.000
0.707 0.094 0.805
0.903 0.707 0.613

***

[8]
Li3Dy2Se4 PBE optimized geometry; space-group type = C2/m (12); total energy = -4.695 eV per atom
1.0
3.496 -2.018 0.000
3.496 2.018 0.000
-0.007 0.000 15.267
Li Dy Se
3 2 4
Direct
0.000 0.000 0.000
0.333 0.333 0.605
0.667 0.667 0.395
0.333 0.333 0.211
0.667 0.667 0.789
0.000 0.000 0.327
0.000 0.000 0.673
0.334 0.334 0.896
0.666 0.666 0.104

***

[9]
LiDySe2 PBE optimized geometry; space-group type = R-3m (166); total energy = -5.068 eV per atom
1.0
2.035 1.175 6.502
-2.035 1.175 6.502
0.000 -2.350 6.502
Li Dy Se
1 1 2
Direct
0.000 0.000 0.000
0.500 0.500 0.500
0.251 0.251 0.251
0.749 0.749 0.749

***

[10]
LiDy5Se8 PBE optimized geometry; space-group type = F-43m (216); total energy = -5.553 eV per atom
1.0
0.000 5.913 5.913
5.913 0.000 5.913
5.913 5.913 0.000
Li Dy Se
1 5 8
Direct
0.000 0.000 0.000
0.370 0.370 0.370
0.370 0.370 0.890
0.370 0.890 0.370
0.750 0.750 0.750
0.890 0.370 0.370
0.130 0.130 0.130
0.130 0.130 0.609
0.130 0.609 0.130
0.151 0.616 0.616
0.609 0.130 0.130
0.616 0.151 0.616
0.616 0.616 0.151
0.616 0.616 0.616

***

[11]
LiDySe2 PBE optimized geometry; space-group type = I4_1/amd (141); total energy = -5.053 eV per atom
1.0
-2.845 2.845 5.805
2.845 -2.845 5.805
2.845 2.845 -5.805
Li Dy Se
2 2 4
Direct
0.375 0.625 0.750
0.625 0.375 0.250
0.125 0.875 0.250
0.875 0.125 0.750
0.121 0.371 0.750
0.371 0.121 0.250
0.629 0.879 0.750
0.879 0.629 0.250

***

[12]
Li2Dy3Se4 PBE optimized geometry; space-group type = C2/m (12); total energy = -4.993 eV per atom
1.0
6.757 -2.002 0.000
6.757 2.002 0.000
-6.171 0.000 8.290
Li Dy Se
2 3 4
Direct
0.160 0.160 0.372
0.840 0.840 0.628
0.297 0.297 0.171
0.500 0.500 0.000
0.703 0.703 0.829
0.067 0.067 0.862
0.249 0.249 0.674
0.751 0.751 0.326
0.933 0.933 0.138

***

total energy of number 12 (Li2Dy3Se4)? -4.993 eV per atom